Density functional theory data (GGA-PBE) for ZnCdGeSe3 after structural relaxation.

Computed properties:
The calculation puts the mass density at 5.77 Mg/m³. The calculation puts the uncorrected energy at -3.20 eV/atom. Its distance to the lowest polymorph of the same formula is 0 meV/atom.

a = 6.793 Å, b = 6.793 Å, c = 11.062 Å
α = 90.00°, β = 90.00°, γ = 33.34°
Element x y z (fractional)
1 Cd 0.000 0.000 0.000
2 Cd 0.000 0.000 0.500
3 Ge 0.775 0.775 0.250
4 Ge 0.225 0.225 0.750
5 Se 0.359 0.359 0.081
6 Se 0.103 0.103 0.250
7 Se 0.359 0.359 0.419
8 Se 0.641 0.641 0.581
9 Se 0.897 0.897 0.750
10 Se 0.641 0.641 0.919
11 Zn 0.484 0.484 0.250
12 Zn 0.516 0.516 0.750

Density functional theory data (GGA-PBE) for CdSiGe after structural relaxation.

Computed properties:
The calculation puts the mass density at 5.40 Mg/m³. The calculation puts the uncorrected energy at -3.32 eV/atom.

a = 4.527 Å, b = 4.527 Å, c = 4.527 Å
α = 60.00°, β = 60.00°, γ = 60.00°
Element x y z (fractional)
1 Cd 0.250 0.250 0.250
2 Ge 0.750 0.750 0.750
3 Si 0.000 0.000 0.000

Density functional theory data (GGA-PBE) for CdSiGe2 after structural relaxation.

Computed properties:
The calculation puts the mass density at 6.15 Mg/m³. The calculation puts the uncorrected energy at -3.45 eV/atom.

a = 4.779 Å, b = 4.779 Å, c = 4.779 Å
α = 60.00°, β = 60.00°, γ = 60.00°
Element x y z (fractional)
1 Cd 0.500 0.500 0.500
2 Ge 0.000 0.000 0.000
3 Ge 0.250 0.250 0.250
4 Si 0.750 0.750 0.750

Density functional theory data (GGA-PBE) for Sm2CdGe2 after structural relaxation.

Computed properties:
The calculation puts the mass density at 7.83 Mg/m³. The calculation puts the spin magnetization at 0.0 Bohr magnetons per cell. The calculation puts the uncorrected energy at -4.66 eV/atom.

a = 7.417 Å, b = 7.417 Å, c = 4.307 Å
α = 90.00°, β = 90.00°, γ = 90.00°
Element x y z (fractional)
1 Cd 0.000 0.000 0.000
2 Cd 0.500 0.500 0.000
3 Ge 0.621 0.121 0.000
4 Ge 0.121 0.379 0.000
5 Ge 0.879 0.621 0.000
6 Ge 0.379 0.879 0.000
7 Sm 0.322 0.178 0.500
8 Sm 0.822 0.322 0.500
9 Sm 0.178 0.678 0.500
10 Sm 0.678 0.822 0.500

Density functional theory data (GGA-PBE) for CdSnGe2 after structural relaxation.

Computed properties:
The calculation puts the mass density at 6.99 Mg/m³. The calculation puts the uncorrected energy at -3.28 eV/atom.

a = 5.018 Å, b = 5.018 Å, c = 5.018 Å
α = 60.00°, β = 60.00°, γ = 60.00°
Element x y z (fractional)
1 Cd 0.750 0.750 0.750
2 Ge 0.250 0.250 0.250
3 Ge 0.500 0.500 0.500
4 Sn 0.000 0.000 0.000

Density functional theory data (GGA-PBE) for CdSn2Ge after structural relaxation.

Computed properties:
The calculation puts the mass density at 7.05 Mg/m³. The calculation puts the uncorrected energy at -3.20 eV/atom.

a = 5.201 Å, b = 5.201 Å, c = 5.201 Å
α = 60.00°, β = 60.00°, γ = 60.00°
Element x y z (fractional)
1 Cd 0.750 0.750 0.750
2 Ge 0.000 0.000 0.000
3 Sn 0.250 0.250 0.250
4 Sn 0.500 0.500 0.500

Density functional theory data (GGA-PBE) for SrCdGe after structural relaxation.

Computed properties:
The calculation puts the mass density at 5.77 Mg/m³. The calculation puts the uncorrected energy at -2.89 eV/atom.

a = 7.863 Å, b = 4.668 Å, c = 8.556 Å
α = 90.00°, β = 90.00°, γ = 90.00°
Element x y z (fractional)
1 Cd 0.343 0.250 0.069
2 Cd 0.843 0.250 0.431
3 Cd 0.157 0.750 0.569
4 Cd 0.657 0.750 0.931
5 Ge 0.723 0.250 0.108
6 Ge 0.223 0.250 0.392
7 Ge 0.777 0.750 0.608
8 Ge 0.277 0.750 0.892
9 Sr 0.013 0.750 0.190
10 Sr 0.513 0.750 0.310
11 Sr 0.487 0.250 0.690
12 Sr 0.987 0.250 0.810

Density functional theory data (GGA-PBE) for SrCdGe after structural relaxation.

Computed properties:
The calculation puts the mass density at 5.78 Mg/m³. The calculation puts the uncorrected energy at -2.89 eV/atom.

a = 7.824 Å, b = 4.651 Å, c = 8.613 Å
α = 90.00°, β = 90.00°, γ = 90.00°
Element x y z (fractional)
1 Cd 0.347 0.750 0.066
2 Cd 0.847 0.750 0.434
3 Cd 0.153 0.250 0.566
4 Cd 0.653 0.250 0.934
5 Ge 0.725 0.750 0.111
6 Ge 0.225 0.750 0.389
7 Ge 0.775 0.250 0.611
8 Ge 0.275 0.250 0.889
9 Sr 0.015 0.250 0.188
10 Sr 0.515 0.250 0.312
11 Sr 0.485 0.750 0.688
12 Sr 0.985 0.750 0.812

Density functional theory data (GGA-PBE) for Sr2CdGe after structural relaxation.

Computed properties:
The calculation puts the mass density at 4.92 Mg/m³. The calculation puts the uncorrected energy at -2.27 eV/atom.

a = 5.560 Å, b = 5.560 Å, c = 5.560 Å
α = 60.00°, β = 60.00°, γ = 60.00°
Element x y z (fractional)
1 Cd 0.750 0.750 0.750
2 Ge 0.000 0.000 0.000
3 Sr 0.250 0.250 0.250
4 Sr 0.500 0.500 0.500

Density functional theory data (GGA-PBE) for SrCdGe after structural relaxation.

Computed properties:
The calculation puts the mass density at 5.76 Mg/m³. The calculation puts the uncorrected energy at -2.88 eV/atom.

a = 7.942 Å, b = 4.809 Å, c = 8.232 Å
α = 90.00°, β = 90.00°, γ = 90.00°
Element x y z (fractional)
1 Cd 0.678 0.250 0.084
2 Cd 0.178 0.250 0.416
3 Cd 0.822 0.750 0.584
4 Cd 0.322 0.750 0.916
5 Ge 0.293 0.250 0.092
6 Ge 0.793 0.250 0.408
7 Ge 0.207 0.750 0.592
8 Ge 0.707 0.750 0.908
9 Sr 0.990 0.750 0.204
10 Sr 0.490 0.750 0.296
11 Sr 0.510 0.250 0.704
12 Sr 0.010 0.250 0.796

Density functional theory data (GGA-PBE) for TaCd2Ge after structural relaxation.

Computed properties:
The calculation puts the mass density at 10.21 Mg/m³. The calculation puts the spin magnetization at 0.7 Bohr magnetons per cell. The calculation puts the uncorrected energy at -4.02 eV/atom.

a = 4.793 Å, b = 4.793 Å, c = 4.793 Å
α = 60.00°, β = 60.00°, γ = 60.00°
Site moments in Bohr magnetons follow the coordinates.
Element x y z (fractional)
1 Cd 0.000 0.000 0.000  0.00
2 Cd 0.750 0.750 0.750  0.01
3 Ge 0.500 0.500 0.500  0.02
4 Ta 0.250 0.250 0.250  0.42

Density functional theory data (GGA-PBE) for CdTc2Ge after structural relaxation.

Computed properties:
The calculation puts the mass density at 9.84 Mg/m³. The calculation puts the spin magnetization at 0.6 Bohr magnetons per cell. The calculation puts the uncorrected energy at -6.09 eV/atom.

a = 4.497 Å, b = 4.497 Å, c = 4.497 Å
α = 60.00°, β = 60.00°, γ = 60.00°
Site moments in Bohr magnetons follow the coordinates.
Element x y z (fractional)
1 Cd 0.250 0.250 0.250  0.02
2 Ge 0.500 0.500 0.500  0.04
3 Tc 0.000 0.000 0.000  0.45
4 Tc 0.750 0.750 0.750  0.04